Entry from Alexandria via LeMat-Bulk: an optimized crystal structure of Nd8TmSc3 (PBE).

- ρ (g/cm³) = 5.75
- E (eV per atom) = -4.734
- calculated volume (Å³/atom) = 35.10

abc: 6.787 10.780 11.513
angles: 90.00 90.00 90.00
Space group Immm (No. 71)
Inequivalent atoms, fractional coordinates:
Nd1 0.000 0.163 0.248
Nd2 0.224 0.286 0.500
Tm1 0.000 0.000 0.500
Sc1 0.000 0.000 0.000
Sc2 0.000 0.500 0.286

Entry from Alexandria via LeMat-Bulk: an optimized crystal structure of NdTm8Sc2 (PBE).

- offset from the most stable computed form (eV/f.u.) = 0.94
- ρ (g/cm³) = 7.97
- E (eV per atom) = -4.708
- calculated volume (Å³/atom) = 30.04

abc: 5.293 8.040 15.534
angles: 90.00 90.00 90.00
Space group Immm (No. 71)
Inequivalent atoms, fractional coordinates:
Nd1 0.000 0.000 0.000
Tm1 0.000 0.201 0.500
Tm2 0.000 0.294 0.144
Tm3 0.000 0.500 0.336
Sc1 0.000 0.000 0.300

Entry from Alexandria via LeMat-Bulk: an optimized crystal structure of NdTmSc3 (PBE).

- offset from the most stable computed form (eV/f.u.) = 0.01
- ρ (g/cm³) = 5.39
- E (eV per atom) = -5.605
- calculated volume (Å³/atom) = 27.61

abc: 6.154 6.155 8.381
angles: 75.59 74.54 66.09
Space group P-1 (No. 2)
Inequivalent atoms, fractional coordinates:
Nd1 0.234 0.234 0.002
Tm1 0.201 0.685 0.227
Sc1 0.153 0.146 0.408
Sc2 0.308 0.813 0.760
Sc3 0.351 0.354 0.596